DFT (PBE) results for Ba2NaCd6Rh after structural relaxation.

The calculation puts the formation energy at -190 kJ/mol of formula units.

The structure in CIF format:
```
data_Ba2NaCd6Rh
_cell_length_a 7.2875
_cell_length_b 7.2875
_cell_length_c 38.9261
_cell_angle_alpha 90.00
_cell_angle_beta 90.00
_cell_angle_gamma 120.00
_space_group_name_H-M_alt 'R -3 m'
_space_group_IT_number 166
_space_group_name_Hall '-R 3 2"'
loop_
_atom_site_label
_atom_site_type_symbol
_atom_site_fract_x
_atom_site_fract_y
_atom_site_fract_z
Ba1 Ba 0.0000 0.0000 0.1054
Ba2 Ba 0.0000 0.0000 0.2791
Na1 Na 0.0000 0.0000 0.4265
Cd1 Cd 0.0528 0.5264 0.3050
Cd2 Cd 0.0618 0.5309 0.8599
Rh1 Rh 0.0000 0.0000 0.0000
Rh2 Rh 0.0000 0.0000 0.5000
```